Record 1
{"formula": "Na3CuO2", "functional": "GGA-PBEsol", "state": "relaxed", "cell": [[-0.173, -2.691, 7.268], [6.466, -4.058, -1.349], [6.323, 8.925, 3.456]], "species": ["O", "O", "O", "O", "O", "O", "O", "O", "O", "O", "O", "O", "O", "O", "O", "O", "Cu", "Cu", "Cu", "Cu", "Cu", "Cu", "Cu", "Cu", "Na", "Na", "Na", "Na", "Na", "Na", "Na", "Na", "Na", "Na", "Na", "Na", "Na", "Na", "Na", "Na", "Na", "Na", "Na", "Na", "Na", "Na", "Na", "Na"], "frac_coords": [[0.494, 0.261, 0.661], [0.266, 0.034, 0.337], [0.006, 0.761, 0.589], [0.239, 0.994, 0.911], [0.506, 0.739, 0.161], [0.534, 0.234, 0.087], [0.034, 0.266, 0.663], [0.766, 0.466, 0.413], [0.994, 0.239, 0.089], [0.466, 0.766, 0.587], [0.234, 0.534, 0.913], [0.734, 0.966, 0.837], [0.966, 0.734, 0.163], [0.761, 0.006, 0.411], [0.739, 0.506, 0.839], [0.261, 0.494, 0.339], [0.263, 0.264, 0.343], [0.237, 0.764, 0.907], [0.736, 0.737, 0.157], [0.737, 0.736, 0.843], [0.264, 0.263, 0.657], [0.763, 0.236, 0.407], [0.236, 0.763, 0.593], [0.764, 0.237, 0.093], [0.984, 0.016, 0.250], [0.945, 0.526, 0.999], [0.516, 0.516, 0.000], [0.026, 0.555, 0.749], [0.484, 0.484, 0.500], [0.736, 0.852, 0.607], [0.352, 0.764, 0.357], [0.852, 0.736, 0.393], [0.548, 0.452, 0.250], [0.952, 0.952, 0.000], [0.648, 0.236, 0.857], [0.264, 0.148, 0.107], [0.555, 0.026, 0.251], [0.236, 0.648, 0.143], [0.016, 0.984, 0.750], [0.055, 0.474, 0.499], [0.452, 0.548, 0.750], [0.474, 0.055, 0.501], [0.974, 0.445, 0.249], [0.526, 0.945, 0.001], [0.445, 0.974, 0.751], [0.148, 0.264, 0.893], [0.048, 0.048, 0.500], [0.764, 0.352, 0.643]], "sg": "P4_12_12 (92)", "e_form_raw_ev_per_atom": -1.092, "crystal_system": "tetragonal"}

Record 2
{"formula": "YZr2W", "functional": "GGA-PBEsol", "state": "relaxed", "cell": [[3.051, -0.018, 0.000], [-1.133, 2.833, 0.000], [0.000, 0.000, 10.075]], "species": ["Zr", "Zr", "Y", "W"], "frac_coords": [[0.000, 0.000, 0.711], [0.000, 0.000, 0.289], [0.500, 0.500, 0.000], [0.500, 0.500, 0.500]], "sg": "Cmmm (65)", "ef_ev_per_atom": 0.24, "dos_ef_per_ev_atom": 1.329, "crystal_system": "orthorhombic"}

Record 3
{"formula": "LaMoP2O", "functional": "GGA-PBEsol", "state": "relaxed", "cell": [[4.050, 0.000, 0.000], [0.000, 5.341, 0.000], [0.000, 0.000, 5.341]], "species": ["Mo", "P", "P", "O", "La"], "frac_coords": [[0.500, 0.500, 0.500], [0.000, 0.000, 0.500], [0.000, 0.500, 0.000], [0.500, 0.000, 0.000], [0.000, 0.000, 0.000]], "sg": "P4/mmm (123)", "e_form_raw_ev_per_atom": 0.670, "dos_ef_per_ev_atom": 0.710, "crystal_system": "tetragonal"}

Record 4
{"formula": "YMg2In", "functional": "GGA-PBEsol", "state": "relaxed", "cell": [[-1.582, 4.172, -0.197], [-0.126, -0.258, -4.451], [-4.443, -1.674, 0.223]], "species": ["Y", "In", "Mg", "Mg"], "frac_coords": [[0.500, 0.000, 0.500], [0.000, 0.500, 0.500], [0.500, 0.500, 0.000], [0.000, 0.000, 0.000]], "sg": "P4/mmm (123)", "ef_ev_per_atom": -0.33, "dos_ef_per_ev_atom": 0.565, "crystal_system": "tetragonal"}

Record 5
{"formula": "RbFe2CoF", "functional": "GGA-PBEsol", "state": "relaxed", "cell": [[-2.406, 3.158, 1.983], [-3.590, -0.808, -3.070], [-1.824, -3.269, 2.993]], "species": ["Co", "Fe", "Fe", "Rb", "F"], "frac_coords": [[0.500, 0.500, 0.500], [0.000, 0.000, 0.500], [0.000, 0.500, 0.000], [0.000, 0.000, 0.000], [0.500, 0.000, 0.000]], "sg": "P4/mmm (123)", "e_form_raw_ev_per_atom": 1.905, "dos_ef_per_ev_atom": 1.521, "crystal_system": "tetragonal"}

Record 6
{"formula": "ErSnPd", "functional": "GGA-PBEsol", "state": "relaxed", "cell": [[-3.414, -1.818, 2.418], [3.058, -6.310, -0.428], [3.915, 1.449, 6.617]], "species": ["Pd", "Pd", "Pd", "Pd", "Er", "Er", "Er", "Er", "Sn", "Sn", "Sn", "Sn"], "frac_coords": [[0.250, 0.792, 0.916], [0.250, 0.292, 0.584], [0.750, 0.208, 0.084], [0.750, 0.708, 0.416], [0.750, 0.991, 0.705], [0.250, 0.509, 0.205], [0.250, 0.009, 0.295], [0.750, 0.491, 0.795], [0.750, 0.806, 0.087], [0.250, 0.694, 0.587], [0.750, 0.306, 0.413], [0.250, 0.194, 0.913]], "sg": "Pnma (62)", "ef_ev_per_atom": -0.95, "dos_ef_per_ev_atom": 0.452, "crystal_system": "orthorhombic"}

Number 1: volume 14.4 Å³/atom, energy -4.26 eV per atom. Number 2: volume 21.7 Å³/atom, energy -9.46 eV per atom. Number 3: volume 23.1 Å³/atom, energy -6.12 eV per atom. Number 4: volume 23.7 Å³/atom, energy -3.64 eV per atom. Number 5: volume 20.4 Å³/atom, energy -3.82 eV per atom. Number 6: volume 20.9 Å³/atom, energy -6.00 eV per atom.